<one>
DFT (GGA-PBE) results for an optimized crystal structure of KSiH2.

Lattice parameters (Å, degrees): 4.8418 4.8418 6.5558 68.33 68.33 90.00
Fractional positions:
H1 0.3864 0.1250 0.2500
H2 0.3636 0.6250 0.2500
H3 0.3750 0.6136 0.7500
H4 0.8750 0.6364 0.7500
K1 0.0000 0.0000 0.0000
K2 0.7500 0.2500 0.5000
Si1 0.5000 0.5000 0.0000
Si2 0.2500 0.7500 0.5000

Results
For the size of the total moment, the calculation gives 0.0 μB per cell.



<two>
DFT (GGA-PBE) results for an optimized crystal structure of KSiH2.

Lattice parameters (Å, degrees): 4.3687 4.3687 4.3687 60.00 60.00 60.00
Fractional positions:
H1 0.2500 0.2500 0.2500
H2 0.7500 0.7500 0.7500
K1 0.5000 0.5000 0.5000
Si1 0.0000 0.0000 0.0000

Results
For the size of the total moment, the calculation gives 0.9 μB per cell.



<three>
DFT (GGA-PBE) results for an optimized crystal structure of KSiH2.

Lattice parameters (Å, degrees): 4.7908 6.3533 6.3923 76.10 90.00 90.00
Fractional positions:
K1 0.7500 0.3094 0.8094
K2 0.2500 0.6906 0.1906
Si1 0.7500 0.9679 0.4678
Si2 0.2500 0.0321 0.5322
H1 0.2500 0.9872 0.7792
H2 0.7500 0.0128 0.2208
H3 0.2500 0.2805 0.4896
H4 0.7500 0.7195 0.5104

Results
For the size of the total moment, the calculation gives 0.2 μB per cell.



<three> is the most stable structure; the next one sits 348 meV per atom above it.